No. 1
# KRbHg2Bi2, optimized geometry, DFT PBE
# - electronic total energy (eV/atom) = -2.10
data_KRbHg2Bi2
_symmetry_space_group_name_H-M 'P 3 m 1'
_symmetry_Int_Tables_number 156
_cell_length_a 5.0811
_cell_length_b 5.0811
_cell_length_c 10.8062
_cell_angle_alpha 90.00
_cell_angle_beta 90.00
_cell_angle_gamma 120.00
loop_
_symmetry_equiv_pos_as_xyz
'x,y,z'
'-y,x-y,z'
'-x+y,-x,z'
'-y,-x,z'
'-x+y,y,z'
'x,x-y,z'
loop_
_atom_site_label
_atom_site_type_symbol
_atom_site_fract_x
_atom_site_fract_y
_atom_site_fract_z
K1 K 0.0000 0.0000 0.0000
Rb1 Rb 0.0000 0.0000 0.4979
Hg1 Hg 0.3333 0.6667 0.2208
Hg2 Hg 0.6667 0.3333 0.7314
Bi1 Bi 0.3333 0.6667 0.7640
Bi2 Bi 0.6667 0.3333 0.2541

=====

No. 2
# CoBi2Pt, optimized geometry, DFT PBE
# - electronic total energy (eV/atom) = -4.74
data_CoBi2Pt
_symmetry_space_group_name_H-M 'F -4 3 m'
_symmetry_Int_Tables_number 216
_symmetry_space_group_name_Hall 'F -4 2 3'
_cell_length_a 6.983
_cell_length_b 6.983
_cell_length_c 6.983
_cell_angle_alpha 90.00
_cell_angle_beta 90.00
_cell_angle_gamma 90.00
loop_
_atom_site_label
_atom_site_type_symbol
_atom_site_fract_x
_atom_site_fract_y
_atom_site_fract_z
Co1 Co 0.000 0.000 0.000
Bi1 Bi 0.000 0.000 0.500
Bi2 Bi 0.250 0.250 0.250
Pt1 Pt 0.250 0.250 0.750

=====

No. 3
# ErNbAs, optimized geometry, DFT PBE
# - electronic total energy (eV/atom) = -5.76
data_ErNbAs
_symmetry_space_group_name_H-M 'F -4 3 m'
_symmetry_Int_Tables_number 216
_symmetry_space_group_name_Hall 'F -4 2 3'
_cell_length_a 6.771
_cell_length_b 6.771
_cell_length_c 6.771
_cell_angle_alpha 90.00
_cell_angle_beta 90.00
_cell_angle_gamma 90.00
loop_
_atom_site_label
_atom_site_type_symbol
_atom_site_fract_x
_atom_site_fract_y
_atom_site_fract_z
Er1 Er 0.000 0.000 0.000
Nb1 Nb 0.250 0.250 0.250
As1 As 0.250 0.250 0.750

=====

No. 4
# Tm2Pa2O5, optimized geometry, DFT PBE
# - electronic total energy (eV/atom) = -7.93
data_Tm2Pa2O5
_symmetry_space_group_name_H-M 'P 4/m m m'
_symmetry_Int_Tables_number 123
_symmetry_space_group_name_Hall '-P 4 2'
_cell_length_a 4.210
_cell_length_b 4.210
_cell_length_c 8.922
_cell_angle_alpha 90.00
_cell_angle_beta 90.00
_cell_angle_gamma 90.00
loop_
_atom_site_label
_atom_site_type_symbol
_atom_site_fract_x
_atom_site_fract_y
_atom_site_fract_z
Tm1 Tm 0.000 0.000 0.000
Tm2 Tm 0.000 0.000 0.500
Pa1 Pa 0.500 0.500 0.249
O1 O 0.000 0.500 0.169
O2 O 0.500 0.500 0.000

=====

No. 5
# YAlCuTc, optimized geometry, DFT PBE
# - excess energy over the best structure of this formula in the dataset (eV/f.u.) = 0.00
data_YAlCuTc
_symmetry_space_group_name_H-M 'F -4 3 m'
_symmetry_Int_Tables_number 216
_symmetry_space_group_name_Hall 'F -4 2 3'
_cell_length_a 6.474
_cell_length_b 6.474
_cell_length_c 6.474
_cell_angle_alpha 90.00
_cell_angle_beta 90.00
_cell_angle_gamma 90.00
loop_
_atom_site_label
_atom_site_type_symbol
_atom_site_fract_x
_atom_site_fract_y
_atom_site_fract_z
Y1 Y 0.000 0.000 0.000
Al1 Al 0.000 0.000 0.500
Cu1 Cu 0.250 0.250 0.750
Tc1 Tc 0.250 0.250 0.250

=====

No. 6
# LuIn2Au, optimized geometry, DFT PBE
# - electronic total energy (eV/atom) = -3.69
data_LuIn2Au
_symmetry_space_group_name_H-M 'F -4 3 m'
_symmetry_Int_Tables_number 216
_symmetry_space_group_name_Hall 'F -4 2 3'
_cell_length_a 7.107
_cell_length_b 7.107
_cell_length_c 7.107
_cell_angle_alpha 90.00
_cell_angle_beta 90.00
_cell_angle_gamma 90.00
loop_
_atom_site_label
_atom_site_type_symbol
_atom_site_fract_x
_atom_site_fract_y
_atom_site_fract_z
Lu1 Lu 0.000 0.000 0.000
In1 In 0.000 0.000 0.500
In2 In 0.250 0.250 0.750
Au1 Au 0.250 0.250 0.250

=====

No. 7
# Zr2Pt, optimized geometry, DFT PBE
# - energy of formation (meV/atom) = -549
data_Zr2Pt
_symmetry_space_group_name_H-M 'P m m n'
_symmetry_Int_Tables_number 59
_cell_length_a 4.805
_cell_length_b 9.024
_cell_length_c 5.492
_cell_angle_alpha 90.00
_cell_angle_beta 90.00
_cell_angle_gamma 90.00
loop_
_symmetry_equiv_pos_as_xyz
'x,y,z'
'-x,-y,-z'
'-x+1/2,-y+1/2,z'
'x+1/2,y+1/2,-z'
'x+1/2,-y,-z'
'-x+1/2,y,z'
'-x,y+1/2,-z'
'x,-y+1/2,z'
loop_
_atom_site_label
_atom_site_type_symbol
_atom_site_fract_x
_atom_site_fract_y
_atom_site_fract_z
Zr1 Zr 0.250 0.062 0.135
Zr2 Zr 0.250 0.250 0.617
Zr3 Zr 0.250 0.750 0.012
Pt1 Pt 0.250 0.584 0.577

=====

No. 8
# Sb2Au3O, optimized geometry, DFT PBE
# - electronic total energy (eV/atom) = -3.53
data_Sb2Au3O
_symmetry_space_group_name_H-M 'P 6/m m m'
_symmetry_Int_Tables_number 191
_symmetry_space_group_name_Hall '-P 6 2'
_cell_length_a 5.3646
_cell_length_b 5.3646
_cell_length_c 5.2698
_cell_angle_alpha 90.00
_cell_angle_beta 90.00
_cell_angle_gamma 120.00
loop_
_atom_site_label
_atom_site_type_symbol
_atom_site_fract_x
_atom_site_fract_y
_atom_site_fract_z
Sb1 Sb 0.3333 0.6667 0.0000
Au1 Au 0.0000 0.5000 0.5000
O1 O 0.0000 0.0000 0.0000

=====

Number 1: V 40.27 A^3/atom. Number 2: V 21.28 A^3/atom. Number 3: V 25.87 A^3/atom. Number 4: V 17.57 A^3/atom. Number 5: V 16.96 A^3/atom. Number 6: V 22.43 A^3/atom. Number 7: V 19.85 A^3/atom. Number 8: V 21.90 A^3/atom.